# La2TcTe GGA-PBE relaxed
data_La2TcTe
_chemical_formula_sum 'La4 Tc2 Te2'
_symmetry_space_group_name_H-M 'I m m 2'
_symmetry_Int_Tables_number 44
_cell_length_a 3.6472
_cell_length_b 4.8947
_cell_length_c 12.1884
_cell_angle_alpha 90.00
_cell_angle_beta 90.00
_cell_angle_gamma 90.00
loop_
_symmetry_equiv_pos_as_xyz
'x,y,z'
'-x,-y,z'
'-x,y,z'
'x,-y,z'
'x+1/2,y+1/2,z+1/2'
'-x+1/2,-y+1/2,z+1/2'
'-x+1/2,y+1/2,z+1/2'
'x+1/2,-y+1/2,z+1/2'
loop_
_atom_site_label
_atom_site_type_symbol
_atom_site_fract_x
_atom_site_fract_y
_atom_site_fract_z
La1 La 0.0000 0.0000 0.0000
La2 La 0.0000 0.5000 0.2189
Tc1 Tc 0.0000 0.0000 0.4844
Te1 Te 0.0000 0.5000 0.8136
# * density: 7.684 g/cm3
# * E: -0.230 hartree per atom
# * D(E_F): 0.892 states/eV/atom
# * raw formation energy: -0.411 eV/atom
# * polymorph energy (0 for the lowest one): 0.119 eV/atom